#w
## ThZrNb (PBE)

Data for a relaxed structure of ThZrNb.

The theoretical density comes out at 9471 kg/m³. Its size of the total moment is 0.00 μB/f.u.

It has space group P4/nmm (No. 129, origin choice 2), with a = 3.415 Å, b = 3.415 Å, c = 12.515 Å, α = 90.00°, β = 90.00° and γ = 90.00°. The distinct sites, in fractional coordinates, are Th at (0.250, 0.250, 0.106), Zr at (0.250, 0.250, 0.703) and Nb at (0.250, 0.250, 0.442).

#x
## ThZrNb (PBE)

Data for a relaxed structure of ThZrNb.

The theoretical density comes out at 9813 kg/m³. Its size of the total moment is 0.00 μB/f.u.

It has space group I4mm (No. 107), with a = 3.601 Å, b = 3.601 Å, c = 10.861 Å, α = 90.00°, β = 90.00° and γ = 90.00°. The distinct sites, in fractional coordinates, are Th at (0.000, 0.000, 0.000), Zr at (0.000, 0.000, 0.315) and Nb at (0.000, 0.000, 0.658).

The structure with the most favorable energy is #w; the runner-up is 9.7 kJ/mol of atoms above it.

#w
## Ti4Nb (PBE)

Data for a relaxed structure of Ti4Nb.

The theoretical density comes out at 5315 kg/m³. Its size of the total moment is 0.00 μB/f.u.

It has space group P2/c (No. 13), with a = 5.244 Å, b = 7.154 Å, c = 5.165 Å, α = 90.00°, β = 113.51° and γ = 90.00°. The distinct sites, in fractional coordinates, are Ti at (0.169, 0.177, 0.062), Ti at (0.247, 0.439, 0.478) and Nb at (0.500, 0.123, 0.750).

#x
## Ti4Nb (PBE)

Data for a relaxed structure of Ti4Nb.

The theoretical density comes out at 4464 kg/m³. Its size of the total moment is 0.00 μB/f.u.

It has space group Pm-3m (No. 221), with a = 4.729 Å, b = 4.729 Å, c = 4.729 Å, α = 90.00°, β = 90.00° and γ = 90.00°. The distinct sites, in fractional coordinates, are Ti at (0.000, 0.000, 0.000), Ti at (0.000, 0.500, 0.500) and Nb at (0.500, 0.500, 0.500).

The structure with the most favorable energy is #w; the runner-up is 77.6 kJ/mol of atoms above it.

#w
## TiNb2 (PBE)

Data for a relaxed structure of TiNb2.

The theoretical density comes out at 7266 kg/m³. Its size of the total moment is 0.00 μB/f.u.

It has space group I4/mmm (No. 139), with a = 3.313 Å, b = 3.313 Å, c = 9.734 Å, α = 90.00°, β = 90.00° and γ = 90.00°. The distinct sites, in fractional coordinates, are Ti at (0.000, 0.000, 0.000) and Nb at (0.000, 0.000, 0.330).

#x
## TiNb2 (PBE)

Data for a relaxed structure of TiNb2.

The theoretical density comes out at 6811 kg/m³. Its size of the total moment is 0.70 μB/f.u.

It has space group Fd-3m (No. 227, origin choice 2), with a = 7.696 Å, b = 7.696 Å, c = 7.696 Å, α = 90.00°, β = 90.00° and γ = 90.00°. The distinct sites, in fractional coordinates, are Ti at (0.125, 0.125, 0.125) and Nb at (0.000, 0.000, 0.500).

The structure with the most favorable energy is #w; the runner-up is 19.1 kJ/mol of atoms above it.